First-principles (PBE) data for an optimized crystal structure of PuHg3Cl6O2, as listed in the Alexandria database.

Results
Formation energy from raw total energies in meV per atom: -937
Crystal system: monoclinic

abc: 12.3984 7.2575 7.2351
angles: 90.00 91.73 90.00
Space group C2/m (No. 12)
Inequivalent atoms, fractional coordinates:
1 Pu 0.0000 0.0000 0.0000
2 Hg 0.0000 0.5000 0.5000
3 Hg 0.2500 0.2500 0.5000
4 Cl 0.1051 0.0000 0.6864
5 Cl 0.1209 0.2520 0.1476
6 O 0.1633 0.5000 0.5656


First-principles (PBE) data for an optimized crystal structure of La4Pm7Pr, as listed in the Alexandria database.

Results
ΔE_f in eV per atom: 0.018
Energy above the most stable polymorph in this dataset in meV/atom: 0
Crystal system: triclinic

abc: 6.4399 7.4291 9.2035
angles: 89.98 76.48 89.98
Space group P-1 (No. 2)
Inequivalent atoms, fractional coordinates:
1 La 0.2216 0.2486 0.3326
2 La 0.2768 0.5006 0.6688
3 Pm 0.9998 0.2494 0.9987
4 Pm 0.2248 0.7518 0.3294
5 Pm 0.2774 0.9997 0.6703
6 Pm 0.5000 0.5000 0.0000
7 Pr 0.5000 0.0000 0.0000


Repeat the second record exactly.
First-principles (PBE) data for an optimized crystal structure of La4Pm7Pr, as listed in the Alexandria database.

Results
ΔE_f in eV per atom: 0.018
Energy above the most stable polymorph in this dataset in meV/atom: 0
Crystal system: triclinic

abc: 6.4399 7.4291 9.2035
angles: 89.98 76.48 89.98
Space group P-1 (No. 2)
Inequivalent atoms, fractional coordinates:
1 La 0.2216 0.2486 0.3326
2 La 0.2768 0.5006 0.6688
3 Pm 0.9998 0.2494 0.9987
4 Pm 0.2248 0.7518 0.3294
5 Pm 0.2774 0.9997 0.6703
6 Pm 0.5000 0.5000 0.0000
7 Pr 0.5000 0.0000 0.0000